PaZn2Co2O7 after structural relaxation. Source: the Alexandria database, functional PBE with a Hubbard U.

Cell: 5.3311 5.3311 25.0701 Å, 90.00 90.00 120.00°
Space group R32 (No. 155, hexagonal axes)
Unique sites:
Pa1 0.0000 0.0000 0.0000
Zn1 0.0000 0.0000 0.4280
Co1 0.0000 0.0000 0.2663
O1 0.0000 0.0000 0.5000
O2 0.0007 0.3225 0.0558

## Properties
- energy (Ha/atom) = -0.2308
- crystal system = trigonal